# YTa2, relaxed, DFT GGA-PBEsol
data_YTa2
_cell_length_a 4.8483
_cell_length_b 4.8483
_cell_length_c 3.0334
_cell_angle_alpha 90.00
_cell_angle_beta 90.00
_cell_angle_gamma 120.00
_symmetry_space_group_name_H-M 'P -3 m 1'
_symmetry_Int_Tables_number 164
_symmetry_space_group_name_Hall '-P 3 2"'
loop_
_atom_site_label
_atom_site_type_symbol
_atom_site_fract_x
_atom_site_fract_y
_atom_site_fract_z
Y1 Y 0.0000 0.0000 0.0000
Ta1 Ta 0.3333 0.6667 0.4157
# Total magnetic moment = 0.0 μB per formula unit
# Distance to the lowest polymorph of the same formula = 0 meV/atom
# Energy of formation from the pure elements = 0.387 eV per atom

---

# NaZr2Se2, relaxed, DFT GGA-PBEsol
data_NaZr2Se2
_cell_length_a 4.174
_cell_length_b 4.174
_cell_length_c 13.389
_cell_angle_alpha 90.00
_cell_angle_beta 90.00
_cell_angle_gamma 90.00
_symmetry_space_group_name_H-M 'I 4/m m m'
_symmetry_Int_Tables_number 139
_symmetry_space_group_name_Hall '-I 4 2'
loop_
_atom_site_label
_atom_site_type_symbol
_atom_site_fract_x
_atom_site_fract_y
_atom_site_fract_z
Na1 Na 0.000 0.000 0.000
Zr1 Zr 0.000 0.500 0.250
Se1 Se 0.000 0.000 0.381
# Final energy = -6.3302 eV/atom
# Total magnetic moment = 0.0 μB per formula unit

---

# P4Os, relaxed, DFT GGA-PBEsol
data_P4Os
_cell_length_a 4.707
_cell_length_b 7.144
_cell_length_c 7.531
_cell_angle_alpha 111.32
_cell_angle_beta 90.36
_cell_angle_gamma 100.32
_symmetry_space_group_name_H-M 'P -1'
_symmetry_Int_Tables_number 2
_symmetry_space_group_name_Hall '-P 1'
loop_
_atom_site_label
_atom_site_type_symbol
_atom_site_fract_x
_atom_site_fract_y
_atom_site_fract_z
P1 P 0.099 0.367 0.399
P2 P 0.108 0.831 0.270
P3 P 0.159 0.087 0.939
P4 P 0.229 0.573 0.048
P5 P 0.297 0.297 0.624
P6 P 0.324 0.838 0.714
Os1 Os 0.441 0.372 0.172
Os2 Os 0.500 0.000 0.500
# Total magnetic moment = 0.0 μB per formula unit
# Distance to the lowest polymorph of the same formula = 0 meV/atom
# Energy of formation from the pure elements = -0.431 eV per atom

---

# La3PtI3, relaxed, DFT GGA-PBEsol
data_La3PtI3
_cell_length_a 12.452
_cell_length_b 12.452
_cell_length_c 12.452
_cell_angle_alpha 90.00
_cell_angle_beta 90.00
_cell_angle_gamma 90.00
_symmetry_space_group_name_H-M 'I 41 3 2'
_symmetry_Int_Tables_number 214
_symmetry_space_group_name_Hall 'I 4bd 2c 3'
loop_
_atom_site_label
_atom_site_type_symbol
_atom_site_fract_x
_atom_site_fract_y
_atom_site_fract_z
La1 La 0.108 0.358 0.125
Pt1 Pt 0.125 0.125 0.125
I1 I 0.113 0.137 0.625
# Final energy = -5.3365 eV/atom
# Total magnetic moment = 0.0 μB per formula unit

---

# ZrRuAu2, relaxed, DFT GGA-PBEsol
data_ZrRuAu2
_cell_length_a 3.890
_cell_length_b 3.890
_cell_length_c 4.348
_cell_angle_alpha 90.00
_cell_angle_beta 90.00
_cell_angle_gamma 90.00
_symmetry_space_group_name_H-M 'P 4/m m m'
_symmetry_Int_Tables_number 123
_symmetry_space_group_name_Hall '-P 4 2'
loop_
_atom_site_label
_atom_site_type_symbol
_atom_site_fract_x
_atom_site_fract_y
_atom_site_fract_z
Zr1 Zr 0.000 0.000 0.000
Ru1 Ru 0.500 0.500 0.000
Au1 Au 0.000 0.500 0.500
# Total magnetic moment = 0.0 μB per formula unit
# Distance to the lowest polymorph of the same formula = 0 meV/atom
# Energy of formation from the pure elements = -0.421 eV per atom

---

# Li3MgRe, relaxed, DFT GGA-PBEsol
data_Li3MgRe
_cell_length_a 4.194
_cell_length_b 4.194
_cell_length_c 4.194
_cell_angle_alpha 90.00
_cell_angle_beta 90.00
_cell_angle_gamma 90.00
_symmetry_space_group_name_H-M 'P m -3 m'
_symmetry_Int_Tables_number 221
_symmetry_space_group_name_Hall '-P 4 2 3'
loop_
_atom_site_label
_atom_site_type_symbol
_atom_site_fract_x
_atom_site_fract_y
_atom_site_fract_z
Li1 Li 0.000 0.000 0.500
Mg1 Mg 0.000 0.000 0.000
Re1 Re 0.500 0.500 0.500
# Total magnetic moment = 0.0 μB per formula unit
# Energy of formation from the pure elements = 1.470 eV per atom

---

# CsAg2Sb2, relaxed, DFT GGA-PBEsol
data_CsAg2Sb2
_cell_length_a 4.932
_cell_length_b 4.932
_cell_length_c 11.410
_cell_angle_alpha 90.00
_cell_angle_beta 90.00
_cell_angle_gamma 90.00
_symmetry_space_group_name_H-M 'I 4/m m m'
_symmetry_Int_Tables_number 139
_symmetry_space_group_name_Hall '-I 4 2'
loop_
_atom_site_label
_atom_site_type_symbol
_atom_site_fract_x
_atom_site_fract_y
_atom_site_fract_z
Cs1 Cs 0.000 0.000 0.000
Ag1 Ag 0.000 0.500 0.250
Sb1 Sb 0.000 0.000 0.372
# Final energy = -3.4997 eV/atom
# Total magnetic moment = 0.0 μB per formula unit

---

# MnFePt2, relaxed, DFT GGA-PBEsol
data_MnFePt2
_cell_length_a 5.443
_cell_length_b 7.368
_cell_length_c 2.729
_cell_angle_alpha 90.00
_cell_angle_beta 90.00
_cell_angle_gamma 90.00
_symmetry_space_group_name_H-M 'C m m m'
_symmetry_Int_Tables_number 65
_symmetry_space_group_name_Hall '-C 2 2'
loop_
_atom_site_label
_atom_site_type_symbol
_atom_site_fract_x
_atom_site_fract_y
_atom_site_fract_z
Mn1 Mn 0.000 0.000 0.000
Fe1 Fe 0.000 0.500 0.000
Pt1 Pt 0.250 0.250 0.500
# Total magnetic moment = 7.0 μB per formula unit
# Energy of formation from the pure elements = -0.175 eV per atom

---

- What is the total magnetic moment in the seventh record?
  0.0 μB per formula unit